Entry from the Alexandria database: a geometry-optimized Y6HoEr structure (PBE-GGA).

Unit cell a=6.164 b=6.163 c=11.244 alpha=79.49 beta=56.79 gamma=48.14
Atoms (fractional coordinates):
1 Y 0.875 0.625 0.875
2 Y 0.750 0.250 0.750
3 Y 0.375 0.125 0.375
4 Y 0.250 0.750 0.250
5 Y 0.125 0.375 0.125
6 Y 0.625 0.875 0.625
7 Ho 0.500 0.500 0.500
8 Er 0.000 0.000 0.000

Calculated values
density of states at the Fermi level = 1.465 states/eV/atom
calculated formation energy = 0.02 eV/atom
M_tot = 0.0 μB per formula unit
symmetry = C2/m